# 1
AlCrHPb2: optimized geometry, PBE-GGA.

The density comes out at 7.76 Mg/m³. The value obtained for the total energy is -4.318 eV/atom.

It has space group P4/mmm (No. 123), with a = 5.6056 Å, b = 5.6056 Å, c = 3.3686 Å, α = 90.00°, β = 90.00° and γ = 90.00°. The asymmetric unit holds Al at (0.0000, 0.0000, 0.0000), Cr at (0.5000, 0.5000, 0.5000), H at (0.0000, 0.0000, 0.5000) and Pb at (0.0000, 0.5000, 0.0000).

---

# 2
AlHg3I4: optimized geometry, PBE-GGA.

For the energy relative to the elements, uncorrected, the calculation gives -33.8 kJ/mol of atoms. The density comes out at 5.75 Mg/m³. The value obtained for the total energy is -1.706 eV/atom.

It has space group Pmn2_1 (No. 31), with a = 12.2892 Å, b = 7.3466 Å, c = 7.2693 Å, α = 90.00°, β = 90.00° and γ = 90.00°. The asymmetric unit holds Al at (0.0000, 0.0624, 0.0000), Hg at (0.0000, 0.6047, 0.6382), Hg at (0.2343, 0.6172, 0.6371), I at (0.0000, 0.1070, 0.6518), I at (0.0000, 0.3957, 0.1377) and I at (0.1715, 0.9038, 0.1105).

---

# 3
CrFe2NiH: optimized geometry, PBE-GGA.

The density comes out at 8.23 Mg/m³. The value obtained for the total energy is -7.029 eV/atom.

It has space group P4/mmm (No. 123), with a = 3.5532 Å, b = 3.5532 Å, c = 3.5681 Å, α = 90.00°, β = 90.00° and γ = 90.00°. The asymmetric unit holds Cr at (0.0000, 0.0000, 0.0000), Fe at (0.0000, 0.5000, 0.5000), Ni at (0.5000, 0.5000, 0.0000) and H at (0.0000, 0.0000, 0.5000).

---

# 4
ZrGeP2O: optimized geometry, PBE-GGA.

For the energy relative to the elements, uncorrected, the calculation gives -16.9 kJ/mol of atoms. The density comes out at 4.80 Mg/m³. The value obtained for the total energy is -5.964 eV/atom.

It has space group P4/mmm (No. 123), with a = 4.7638 Å, b = 4.7638 Å, c = 3.6833 Å, α = 90.00°, β = 90.00° and γ = 90.00°. The asymmetric unit holds Zr at (0.0000, 0.0000, 0.0000), Ge at (0.5000, 0.5000, 0.5000), P at (0.0000, 0.5000, 0.5000) and O at (0.5000, 0.5000, 0.0000).

---

# 5
Gd2TlTc: optimized geometry, PBE-GGA.

The calculation puts the formation energy at -0.6 eV per formula unit. The density comes out at 10.37 Mg/m³. The value obtained for the total energy is -10.379 eV/atom.

It has space group P4/mmm (No. 123), with a = 3.5281 Å, b = 3.5281 Å, c = 7.9369 Å, α = 90.00°, β = 90.00° and γ = 90.00°. The asymmetric unit holds Gd at (0.0000, 0.0000, 0.2070), Tl at (0.5000, 0.5000, 0.5000) and Tc at (0.5000, 0.5000, 0.0000).

---

# 6
Tm3Cd: optimized geometry, PBE-GGA.

The calculation puts the formation energy at 0.4 eV per formula unit. The density comes out at 8.70 Mg/m³. The value obtained for the total energy is -3.476 eV/atom.

It has space group Pmm2 (No. 25), with a = 3.3907 Å, b = 3.4286 Å, c = 10.1634 Å, α = 90.00°, β = 90.00° and γ = 90.00°. The asymmetric unit holds Tm at (0.0000, 0.0000, 0.0000), Tm at (0.0000, 0.5000, 0.2925), Tm at (0.5000, 0.5000, 0.7610) and Cd at (0.5000, 0.0000, 0.4983).